*1*
VASP calculation (GGA-PBE) on a relaxed structure of Nd4TmCd.

Summary:
Crystal system: monoclinic
Volume in Å³ per atom: 32.608

Cell and atoms, written as CIF:
```
data_Nd4TmCd
_cell_length_a 8.953
_cell_length_b 14.504
_cell_length_c 6.399
_cell_angle_alpha 90.00
_cell_angle_beta 109.63
_cell_angle_gamma 90.00
_space_group_name_H-M_alt 'C 1 2/c 1'
_space_group_IT_number 15
loop_
_space_group_symop_operation_xyz
'x,y,z'
'-x,-y,-z'
'-x,y,-z+1/2'
'x,-y,z+1/2'
'x+1/2,y+1/2,z'
'-x+1/2,-y+1/2,-z'
'-x+1/2,y+1/2,-z+1/2'
'x+1/2,-y+1/2,z+1/2'
loop_
_atom_site_label
_atom_site_fract_x
_atom_site_fract_y
_atom_site_fract_z
Nd1 0.098 0.192 0.047
Nd2 0.212 0.384 0.375
Tm1 0.000 0.411 0.750
Cd1 0.000 0.001 0.750
```

=====

*2*
VASP calculation (GGA-PBE) on a relaxed structure of Nd4TmCd.

Summary:
Crystal system: tetragonal
Volume in Å³ per atom: 32.191

Cell and atoms, written as CIF:
```
data_Nd4TmCd
_cell_length_a 3.682
_cell_length_b 3.682
_cell_length_c 14.247
_cell_angle_alpha 90.00
_cell_angle_beta 90.00
_cell_angle_gamma 90.00
_space_group_name_H-M_alt 'P 4/m m m'
_space_group_IT_number 123
_space_group_name_Hall '-P 4 2'
loop_
_atom_site_label
_atom_site_fract_x
_atom_site_fract_y
_atom_site_fract_z
Nd1 0.000 0.000 0.148
Nd2 0.500 0.500 0.327
Tm1 0.000 0.000 0.500
Cd1 0.500 0.500 0.000
```

=====

Q: Which of them is the most stable? A: *2*.

=====

*1*
VASP calculation (GGA-PBE) on a relaxed structure of Nd3TmCd.

Summary:
Crystal system: monoclinic
Volume in Å³ per atom: 34.019

Cell and atoms, written as CIF:
```
data_Nd3TmCd
_cell_length_a 3.680
_cell_length_b 11.391
_cell_length_c 8.311
_cell_angle_alpha 90.00
_cell_angle_beta 102.45
_cell_angle_gamma 90.00
_space_group_name_H-M_alt 'P 1 21/m 1'
_space_group_IT_number 11
loop_
_space_group_symop_operation_xyz
'x,y,z'
'-x,-y,-z'
'-x,y+1/2,-z'
'x,-y+1/2,z'
loop_
_atom_site_label
_atom_site_fract_x
_atom_site_fract_y
_atom_site_fract_z
Nd1 0.151 0.011 0.290
Nd2 0.301 0.250 0.597
Tm1 0.007 0.750 0.036
Cd1 0.358 0.750 0.729
```

=====

*2*
VASP calculation (GGA-PBE) on a relaxed structure of Nd3TmCd.

Summary:
Crystal system: monoclinic
Volume in Å³ per atom: 32.282

Cell and atoms, written as CIF:
```
data_Nd3TmCd
_cell_length_a 22.339
_cell_length_b 3.589
_cell_length_c 8.436
_cell_angle_alpha 90.00
_cell_angle_beta 107.35
_cell_angle_gamma 90.00
_space_group_name_H-M_alt 'C 1 2/m 1'
_space_group_IT_number 12
loop_
_space_group_symop_operation_xyz
'x,y,z'
'-x,-y,-z'
'-x,y,-z'
'x,-y,z'
'x+1/2,y+1/2,z'
'-x+1/2,-y+1/2,-z'
'-x+1/2,y+1/2,-z'
'x+1/2,-y+1/2,z'
loop_
_atom_site_label
_atom_site_fract_x
_atom_site_fract_y
_atom_site_fract_z
Nd1 0.015 0.000 0.237
Nd2 0.122 0.500 0.044
Nd3 0.176 0.000 0.447
Tm1 0.233 0.500 0.821
Cd1 0.079 0.500 0.604
```

=====

Q: Which of them is the most stable? A: *2*.

=====

*1*
VASP calculation (GGA-PBE) on a relaxed structure of NdTm3Cd.

Summary:
Crystal system: monoclinic
Volume in Å³ per atom: 32.002

Cell and atoms, written as CIF:
```
data_NdTm3Cd
_cell_length_a 3.531
_cell_length_b 10.911
_cell_length_c 8.491
_cell_angle_alpha 90.00
_cell_angle_beta 101.93
_cell_angle_gamma 90.00
_space_group_name_H-M_alt 'P 1 21/m 1'
_space_group_IT_number 11
loop_
_space_group_symop_operation_xyz
'x,y,z'
'-x,-y,-z'
'-x,y+1/2,-z'
'x,-y+1/2,z'
loop_
_atom_site_label
_atom_site_fract_x
_atom_site_fract_y
_atom_site_fract_z
Nd1 0.018 0.250 0.040
Tm1 0.158 0.509 0.315
Tm2 0.296 0.750 0.592
Cd1 0.356 0.250 0.715
```

=====

*2*
VASP calculation (GGA-PBE) on a relaxed structure of NdTm3Cd.

Summary:
Crystal system: monoclinic
Volume in Å³ per atom: 29.480

Cell and atoms, written as CIF:
```
data_NdTm3Cd
_cell_length_a 12.963
_cell_length_b 3.650
_cell_length_c 12.484
_cell_angle_alpha 90.00
_cell_angle_beta 93.57
_cell_angle_gamma 90.00
_space_group_name_H-M_alt 'C 1 2/m 1'
_space_group_IT_number 12
loop_
_space_group_symop_operation_xyz
'x,y,z'
'-x,-y,-z'
'-x,y,-z'
'x,-y,z'
'x+1/2,y+1/2,z'
'-x+1/2,-y+1/2,-z'
'-x+1/2,y+1/2,-z'
'x+1/2,-y+1/2,z'
loop_
_atom_site_label
_atom_site_fract_x
_atom_site_fract_y
_atom_site_fract_z
Nd1 0.236 0.000 0.253
Tm1 0.035 0.000 0.687
Tm2 0.134 0.500 0.479
Tm3 0.146 0.000 0.950
Cd1 0.051 0.500 0.127
```

=====

Q: Which of them is the most stable? A: *2*.

=====

*1*
VASP calculation (GGA-PBE) on a relaxed structure of NdTmCd4.

Summary:
Crystal system: monoclinic
Volume in Å³ per atom: 24.903

Cell and atoms, written as CIF:
```
data_NdTmCd4
_cell_length_a 3.420
_cell_length_b 8.707
_cell_length_c 5.018
_cell_angle_alpha 90.00
_cell_angle_beta 90.11
_cell_angle_gamma 90.00
_space_group_name_H-M_alt 'P 1 2/m 1'
_space_group_IT_number 10
loop_
_space_group_symop_operation_xyz
'x,y,z'
'-x,-y,-z'
'-x,y,-z'
'x,-y,z'
loop_
_atom_site_label
_atom_site_fract_x
_atom_site_fract_y
_atom_site_fract_z
Nd1 0.000 0.000 0.000
Tm1 0.000 0.500 0.500
Cd1 0.500 0.172 0.500
Cd2 0.500 0.338 0.000
```

=====

*2*
VASP calculation (GGA-PBE) on a relaxed structure of NdTmCd4.

Summary:
Crystal system: cubic
Volume in Å³ per atom: 24.695

Cell and atoms, written as CIF:
```
data_NdTmCd4
_cell_length_a 8.400
_cell_length_b 8.400
_cell_length_c 8.400
_cell_angle_alpha 90.00
_cell_angle_beta 90.00
_cell_angle_gamma 90.00
_space_group_name_H-M_alt 'F -4 3 m'
_space_group_IT_number 216
_space_group_name_Hall 'F -4 2 3'
loop_
_atom_site_label
_atom_site_fract_x
_atom_site_fract_y
_atom_site_fract_z
Nd1 0.000 0.000 0.000
Tm1 0.250 0.250 0.250
Cd1 0.125 0.125 0.625
```

=====

Q: Which of them is the most stable? A: *1*.